Record 1
# Sm2DyTmO6 PBE relaxed
data_Sm2DyTmO6
_cell_length_a 5.8801
_cell_length_b 5.8801
_cell_length_c 15.2046
_cell_angle_alpha 90.00
_cell_angle_beta 90.00
_cell_angle_gamma 120.00
_symmetry_space_group_name_H-M 'R 3'
_symmetry_Int_Tables_number 146
_symmetry_space_group_name_Hall 'R 3'
loop_
_atom_site_label
_atom_site_type_symbol
_atom_site_fract_x
_atom_site_fract_y
_atom_site_fract_z
_atom_site_occupancy
Sm1 Sm 0.0000 0.0000 0.0000 1
Sm2 Sm 0.0000 0.0000 0.4991 1
Dy1 Dy 0.0000 0.0000 0.2796 1
Tm1 Tm 0.0000 0.0000 0.7813 1
O1 O 0.0174 0.7203 0.8839 1
O2 O 0.0219 0.3037 0.3849 1
# formation energy from raw total energies = -3366 kJ/mol of formula units
# calculated density = 7.97 g/cm3
# VASP energy = -249.45 eV per cell
# V = 15.2 Å³/atom
# crystal system = trigonal

Record 2
# BeSiSb2 PBE relaxed
data_BeSiSb2
_cell_length_a 3.8999
_cell_length_b 5.5898
_cell_length_c 7.5472
_cell_angle_alpha 90.00
_cell_angle_beta 90.00
_cell_angle_gamma 90.00
_symmetry_space_group_name_H-M 'C m m m'
_symmetry_Int_Tables_number 65
_symmetry_space_group_name_Hall '-C 2 2'
loop_
_atom_site_label
_atom_site_type_symbol
_atom_site_fract_x
_atom_site_fract_y
_atom_site_fract_z
_atom_site_occupancy
Be1 Be 0.0000 0.0000 0.0000 1
Si1 Si 0.0000 0.0000 0.5000 1
Sb1 Sb 0.0000 0.5000 0.2256 1
# formation energy from raw total energies = 226 kJ/mol of formula units
# calculated density = 5.66 g/cm3
# VASP energy = -30.10 eV per cell
# V = 20.6 Å³/atom
# crystal system = orthorhombic

Record 3
# Li2Ti2O PBE relaxed
data_Li2Ti2O
_cell_length_a 5.1608
_cell_length_b 5.1608
_cell_length_c 5.3870
_cell_angle_alpha 90.00
_cell_angle_beta 90.00
_cell_angle_gamma 90.00
_symmetry_space_group_name_H-M 'P 4/m b m'
_symmetry_Int_Tables_number 127
_symmetry_space_group_name_Hall '-P 4 2ab'
loop_
_atom_site_label
_atom_site_type_symbol
_atom_site_fract_x
_atom_site_fract_y
_atom_site_fract_z
_atom_site_occupancy
Li1 Li 0.1800 0.3200 0.0000 1
Ti1 Ti 0.1803 0.6803 0.5000 1
O1 O 0.0000 0.0000 0.0000 1
# formation energy from raw total energies = -103 kJ/mol of formula units
# calculated density = 2.91 g/cm3
# VASP energy = -51.30 eV per cell
# V = 14.3 Å³/atom
# crystal system = tetragonal